A geometry-optimized Rb2LaTaSi structure, computed with PBE.

The space group is P4/mmm (No. 123) and the conventional cell measures 6.655, 6.655 and 5.080 Å, with angles of 90.00, 90.00 and 90.00 degrees. Symmetry generates all atoms from Rb at (0.000, 0.500, 0.000), La at (0.000, 0.000, 0.000), Ta at (0.000, 0.000, 0.500) and Si at (0.500, 0.500, 0.500).

As for the uncorrected formation energy: 1.77 eV/atom. The density is 3.83 g/cm³. For the uncorrected energy, the calculation gives -3.0583 eV per atom.

=====

A geometry-optimized RbLaSi2Te structure, computed with PBE.

The space group is P4/mmm (No. 123) and the conventional cell measures 5.380, 5.380 and 5.809 Å, with angles of 90.00, 90.00 and 90.00 degrees. Symmetry generates all atoms from Rb at (0.000, 0.000, 0.000), La at (0.500, 0.500, 0.000), Si at (0.000, 0.500, 0.500) and Te at (0.000, 0.000, 0.500).

As for the uncorrected formation energy: 0.76 eV/atom. The density is 4.03 g/cm³. For the uncorrected energy, the calculation gives -3.2146 eV per atom.

=====

A geometry-optimized RbLaZr2Si structure, computed with PBE.

The space group is P4/mmm (No. 123) and the conventional cell measures 5.045, 5.045 and 5.710 Å, with angles of 90.00, 90.00 and 90.00 degrees. Symmetry generates all atoms from Rb at (0.000, 0.000, 0.000), La at (0.500, 0.500, 0.500), Zr at (0.000, 0.500, 0.000) and Si at (0.000, 0.000, 0.500).

As for the uncorrected formation energy: 1.61 eV/atom. The density is 4.97 g/cm³. For the uncorrected energy, the calculation gives -4.0768 eV per atom.

=====

A geometry-optimized RbLaSm2 structure, computed with PBE.

The space group is R-3m (No. 166, hexagonal axes) and the conventional cell measures 3.7099, 3.7099 and 40.8695 Å, with angles of 90.00, 90.00 and 120.00 degrees. Symmetry generates all atoms from Rb at (0.0000, 0.0000, 0.0000), La at (0.0000, 0.0000, 0.5000) and Sm at (0.0000, 0.0000, 0.0949).

The density is 5.37 g/cm³. For the uncorrected energy, the calculation gives -3.5620 eV per atom. The value obtained for the formation energy is 0.271 eV per atom.

=====

A geometry-optimized Rb3LaSm2Te6 structure, computed with PBE.

The space group is C2/m (No. 12) and the conventional cell measures 8.054, 13.950 and 8.970 Å, with angles of 90.00, 107.43 and 90.00 degrees. Symmetry generates all atoms from Rb at (0.000, 0.000, 0.000), Rb at (0.000, 0.335, 0.000), La at (0.000, 0.500, 0.500), Sm at (0.000, 0.167, 0.500), Te at (0.228, 0.000, 0.704) and Te at (0.238, 0.330, 0.704).

As for the uncorrected formation energy: -1.43 eV/atom. The density is 5.05 g/cm³. For the uncorrected energy, the calculation gives -4.4416 eV per atom.

=====

A geometry-optimized RbLa2SmTe4 structure, computed with PBE.

The space group is P2/m (No. 10) and the conventional cell measures 8.034, 4.589 and 8.165 Å, with angles of 90.00, 108.66 and 90.00 degrees. Symmetry generates all atoms from Rb at (0.000, 0.000, 0.000), La at (0.500, 0.000, 0.500), La at (0.500, 0.500, 0.000), Sm at (0.000, 0.500, 0.500), Te at (0.250, 0.000, 0.738) and Te at (0.262, 0.500, 0.269).

As for the uncorrected formation energy: -1.42 eV/atom. The density is 5.96 g/cm³. For the uncorrected energy, the calculation gives -4.9321 eV per atom.

=====

A geometry-optimized Rb2LaSmTe4 structure, computed with PBE.

The space group is P2/m (No. 10) and the conventional cell measures 8.096, 4.674 and 8.968 Å, with angles of 90.00, 107.48 and 90.00 degrees. Symmetry generates all atoms from Rb at (0.000, 0.000, 0.000), Rb at (0.500, 0.500, 0.000), La at (0.000, 0.500, 0.500), Sm at (0.500, 0.000, 0.500), Te at (0.241, 0.000, 0.706) and Te at (0.271, 0.500, 0.297).

As for the uncorrected formation energy: -1.45 eV/atom. The density is 4.98 g/cm³. For the uncorrected energy, the calculation gives -4.4644 eV per atom.

=====

A geometry-optimized Rb4LaSm3Te8 structure, computed with PBE.

The space group is R-3m (No. 166, hexagonal axes) and the conventional cell measures 9.2775, 9.2775 and 25.6816 Å, with angles of 90.00, 90.00 and 120.00 degrees. Symmetry generates all atoms from Rb at (0.0000, 0.0000, 0.0000), Rb at (0.0000, 0.5000, 0.0000), La at (0.0000, 0.0000, 0.5000), Sm at (0.0000, 0.5000, 0.5000), Te at (0.0000, 0.0000, 0.2341) and Te at (0.0058, 0.5029, 0.7653).

As for the uncorrected formation energy: -1.42 eV/atom. The density is 5.08 g/cm³. For the uncorrected energy, the calculation gives -4.4292 eV per atom.

=====

A geometry-optimized RbLaSn structure, computed with PBE.

The space group is C2/m (No. 12) and the conventional cell measures 10.821, 5.067 and 10.013 Å, with angles of 90.00, 106.79 and 90.00 degrees. Symmetry generates all atoms from Rb at (0.180, 0.000, 0.127), La at (0.108, 0.500, 0.433) and Sn at (0.102, 0.000, 0.651).

The density is 4.34 g/cm³. For the uncorrected energy, the calculation gives -3.6137 eV per atom. The value obtained for the formation energy is -0.314 eV per atom.

=====

A geometry-optimized RbLa2Sn2 structure, computed with PBE.

The space group is I4/mmm (No. 139) and the conventional cell measures 5.514, 5.514 and 13.719 Å, with angles of 90.00, 90.00 and 90.00 degrees. Symmetry generates all atoms from Rb at (0.000, 0.000, 0.000), La at (0.000, 0.500, 0.250) and Sn at (0.000, 0.000, 0.388).

The density is 4.78 g/cm³. For the uncorrected energy, the calculation gives -4.0250 eV per atom. The value obtained for the formation energy is -0.259 eV per atom.

=====

A geometry-optimized RbLa2Sn2 structure, computed with PBE.

The space group is P4/mmm (No. 123) and the conventional cell measures 5.934, 5.934 and 5.471 Å, with angles of 90.00, 90.00 and 90.00 degrees. Symmetry generates all atoms from Rb at (0.000, 0.000, 0.000), La at (0.000, 0.000, 0.500), La at (0.500, 0.500, 0.500) and Sn at (0.000, 0.500, 0.000).

The density is 5.18 g/cm³. For the uncorrected energy, the calculation gives -2.9533 eV per atom. The value obtained for the formation energy is 0.812 eV per atom.

=====

A geometry-optimized RbLaSn2 structure, computed with PBE.

The space group is Fm-3m (No. 225) and the conventional cell measures 8.161, 8.161 and 8.161 Å, with angles of 90.00, 90.00 and 90.00 degrees. Symmetry generates all atoms from Rb at (0.000, 0.000, 0.000), La at (0.000, 0.000, 0.500) and Sn at (0.250, 0.250, 0.250).

The density is 5.64 g/cm³. For the uncorrected energy, the calculation gives -3.6604 eV per atom. The value obtained for the formation energy is -0.185 eV per atom. For the relative energy among the computed polymorphs, the calculation gives 0.0 meV per atom.

=====

Question: What is the uncorrected energy in the eighth record?
Answer: -4.4292 eV per atom

=====

Question: uncorrected energy of number 1 (Rb2LaTaSi)?
Answer: -3.0583 eV per atom

=====

Question: The lowest uncorrected energy belongs to which entry?
Answer: RbLa2SmTe4